No. 1
Material: ZnHg2Se
Method: DFT, GGA-PBE
State: relaxed

```
ZnHg2Se
1.0
3.961 0.000 0.000
0.000 3.961 0.000
0.000 0.000 12.834
Zn Hg Se
2 4 2
Cartesian
0.000 0.000 0.000
1.980 1.980 6.417
0.000 1.980 3.208
0.000 1.980 9.625
1.980 0.000 3.208
1.980 0.000 9.625
0.000 0.000 6.417
1.980 1.980 0.000
```

Calculated values
Polymorph energy (0 for the lowest one), kJ/mol of atoms: 23.7
Formation energy without anion corrections, eV per formula unit: 0.13

***

No. 2
Material: Zn2HgSe
Method: DFT, GGA-PBE
State: relaxed

```
Zn2HgSe
1.0
3.804 0.000 0.000
0.000 6.580 0.000
0.000 0.000 7.507
Zn Hg Se
4 2 2
Cartesian
0.000 0.000 1.748
0.000 0.000 5.759
1.902 3.290 2.005
1.902 3.290 5.501
0.000 3.290 0.000
1.902 0.000 3.753
0.000 3.290 3.753
1.902 0.000 0.000
```

Calculated values
Polymorph energy (0 for the lowest one), kJ/mol of atoms: 12.0
Formation energy without anion corrections, eV per formula unit: 0.03

***

No. 3
Material: ZnHgSe2
Method: DFT, GGA-PBE
State: relaxed

```
ZnHgSe2
1.0
11.053 0.000 0.000
0.000 4.074 0.000
0.000 0.000 11.174
Zn Hg Se
4 4 8
Cartesian
0.547 1.018 2.430
4.980 3.055 8.017
6.073 1.018 3.157
10.506 3.055 8.745
2.205 1.018 6.603
3.321 3.055 1.015
7.732 1.018 10.159
8.847 3.055 4.572
0.237 3.055 3.729
1.759 1.018 0.368
3.767 3.055 5.955
5.290 1.018 9.316
5.763 3.055 1.859
7.286 1.018 5.220
9.293 3.055 10.807
10.816 1.018 7.446
```

Calculated values
Formation energy without anion corrections, eV per formula unit: -1.32

***

No. 4
Material: ZnHg2Se
Method: DFT, GGA-PBE
State: relaxed

```
ZnHg2Se
1.0
2.822 0.000 0.000
0.000 4.098 0.000
0.000 0.000 7.872
Zn Hg Se
1 2 1
Cartesian
0.000 0.000 0.000
1.411 2.049 1.827
1.411 2.049 6.044
0.000 0.000 3.936
```

Calculated values
Polymorph energy (0 for the lowest one), kJ/mol of atoms: 38.0
Formation energy without anion corrections, eV per formula unit: 0.73

***

No. 5
Material: ZnHgSe2
Method: DFT, GGA-PBE
State: relaxed

```
ZnHgSe2
1.0
3.911 0.000 0.000
0.000 3.921 0.000
0.000 0.000 11.642
Zn Hg Se
2 2 4
Cartesian
0.000 0.000 0.000
1.955 1.961 5.821
0.000 0.000 5.821
1.955 1.961 0.000
0.000 0.000 2.761
0.000 0.000 8.882
1.955 1.961 3.061
1.955 1.961 8.582
```

Calculated values
Formation energy without anion corrections, eV per formula unit: 0.24

***

No. 6
Material: ZnHgSe2
Method: DFT, GGA-PBE
State: relaxed

```
ZnHgSe2
1.0
4.213 0.000 0.000
0.000 6.010 0.000
-0.005 0.000 8.494
Zn Hg Se
2 2 4
Cartesian
1.055 0.000 0.989
3.153 3.005 7.505
1.049 0.006 5.430
3.158 3.012 3.064
1.052 1.335 3.074
1.047 1.626 7.585
3.155 4.340 5.420
3.160 4.631 0.909
```

Calculated values
Formation energy without anion corrections, eV per formula unit: -1.78

***

No. 7
Material: ZnHgSe
Method: DFT, GGA-PBE
State: relaxed

```
ZnHgSe
1.0
3.627 0.000 0.000
0.000 3.627 0.000
0.000 0.000 12.125
Zn Hg Se
2 2 2
Cartesian
0.000 0.000 0.000
1.813 1.813 6.062
0.000 0.000 9.509
1.813 1.813 3.447
0.000 0.000 6.710
1.813 1.813 0.648
```

Calculated values
Polymorph energy (0 for the lowest one), kJ/mol of atoms: 8.8
Formation energy without anion corrections, eV per formula unit: -0.61

***

No. 8
Material: Zn2HgSe
Method: DFT, GGA-PBE
State: relaxed

```
Zn2HgSe
1.0
6.945 0.000 0.000
0.000 6.945 0.000
0.000 0.000 6.945
Zn Hg Se
8 4 4
Cartesian
0.000 0.000 0.000
0.000 3.473 3.473
1.736 1.736 1.736
1.736 5.209 5.209
3.473 0.000 3.473
3.473 3.473 0.000
5.209 1.736 5.209
5.209 5.209 1.736
1.736 1.736 5.209
1.736 5.209 1.736
5.209 1.736 1.736
5.209 5.209 5.209
0.000 0.000 3.473
0.000 3.473 0.000
3.473 0.000 0.000
3.473 3.473 3.473
```

Calculated values
Polymorph energy (0 for the lowest one), kJ/mol of atoms: 32.8
Formation energy without anion corrections, eV per formula unit: 0.89

***

No. 9
Material: ZnHgSe2
Method: DFT, GGA-PBE
State: relaxed

```
ZnHgSe2
1.0
7.306 0.000 0.000
0.000 8.476 0.000
0.000 0.000 6.946
Zn Hg Se
4 4 8
Cartesian
0.569 1.065 0.000
3.084 5.303 3.473
4.222 3.173 0.000
6.737 7.411 3.473
0.644 5.292 6.924
3.009 1.053 3.451
4.297 7.423 6.924
6.662 3.185 3.451
0.499 0.946 4.453
0.708 5.410 4.219
2.945 1.172 0.746
3.154 5.184 0.981
4.152 3.292 4.453
4.361 7.304 4.219
6.598 3.066 0.746
6.807 7.530 0.981
```

Calculated values
Formation energy without anion corrections, eV per formula unit: -1.80

***

No. 10
Material: ZnHgSe2
Method: DFT, GGA-PBE
State: relaxed

```
ZnHgSe2
1.0
3.747 0.000 0.000
0.000 3.747 0.000
0.000 0.000 16.778
Zn Hg Se
2 2 4
Cartesian
0.000 0.000 0.000
1.874 1.874 8.389
0.000 1.874 12.584
1.874 0.000 4.195
0.000 0.000 8.389
0.000 1.874 4.195
1.874 0.000 12.584
1.874 1.874 0.000
```

Calculated values
Formation energy without anion corrections, eV per formula unit: -0.03

***

No. 11
Material: ZnHg2Se
Method: DFT, GGA-PBE
State: relaxed

```
ZnHg2Se
1.0
6.963 0.000 0.000
0.000 4.001 0.000
-2.410 0.000 8.891
Zn Hg Se
2 4 2
Cartesian
0.000 0.000 0.000
3.482 2.000 0.000
-0.004 0.000 6.280
2.327 0.000 3.784
3.478 2.000 6.280
5.809 2.000 3.784
1.167 2.000 0.617
4.648 0.000 0.617
```

Calculated values
Polymorph energy (0 for the lowest one), kJ/mol of atoms: 0.0
Formation energy without anion corrections, eV per formula unit: -0.85

***

No. 12
Material: ZnHg2Se
Method: DFT, GGA-PBE
State: relaxed

```
ZnHg2Se
1.0
4.141 0.000 0.000
0.000 6.527 0.000
0.000 0.000 7.386
Zn Hg Se
2 4 2
Cartesian
0.000 0.000 0.000
2.071 3.264 0.000
0.000 3.264 1.814
0.000 3.264 5.572
2.071 0.000 1.814
2.071 0.000 5.572
0.000 0.000 3.693
2.071 3.264 3.693
```

Calculated values
Polymorph energy (0 for the lowest one), kJ/mol of atoms: 35.6
Formation energy without anion corrections, eV per formula unit: 0.63

***

For each record above, in turn, the calculated DFT total energy values are -1.307 -1.576 -2.467 -1.159 -2.075 -2.582 -1.889 -1.360 -2.586 -2.145 -1.553 -1.184 eV per atom.